The following is a PBE with a Hubbard U calculation of a relaxed Mn3FeO crystal, from the Alexandria database.

The structure in POSCAR format:
```
Mn3FeO
1.0
4.662 0.000 0.000
0.000 4.662 0.000
0.000 0.000 4.662
Mn Fe O
3 1 1
direct
0.000 0.000 0.500
0.000 0.500 0.000
0.500 0.000 0.000
0.000 0.000 0.000
0.500 0.500 0.500
```

Summary:
Distance to the lowest polymorph of the same formula: 1396 meV/atom
N(E_F): 2.9 states/eV/f.u.
Volume: 20.27 Å³ per atom

---

The following is a PBE with a Hubbard U calculation of a relaxed TbCr2SbO6 crystal, from the Alexandria database.

The structure in POSCAR format:
```
TbCr2SbO6
1.0
2.765 1.596 4.530
-2.765 1.596 4.530
0.000 -3.193 4.530
Tb Cr Sb O
1 2 1 6
direct
0.000 0.000 0.000
0.224 0.224 0.224
0.728 0.728 0.728
0.508 0.508 0.508
0.058 0.450 0.891
0.379 0.933 0.570
0.450 0.891 0.058
0.570 0.379 0.933
0.891 0.058 0.450
0.933 0.570 0.379
```

Summary:
E: -7.48 eV/atom
Volume: 12.00 Å³ per atom

---

no.,M_tot (μB/cell)
1,11.9
2,6.0